A plane-wave DFT calculation with PBE was carried out for an optimized crystal structure of MgSiAs2Ru.

The structure in POSCAR format:
```
MgSiAs2Ru
1.0
-4.403 -1.917 -0.175
1.552 -3.278 -3.153
1.133 -2.933 3.607
Mg Ru As Si
1 1 2 1
Direct
0.000 0.000 0.000
0.500 0.500 0.500
0.000 0.500 0.000
0.500 0.000 0.000
0.000 0.000 0.500
```

Summary:
- E_form (uncorrected): 1.37 eV/atom

A plane-wave DFT calculation with PBE was carried out for an optimized crystal structure of Sr2MgAsRu.

The structure in POSCAR format:
```
Sr2MgAsRu
1.0
-3.295 -0.075 4.890
3.732 -1.313 2.495
1.333 5.660 0.985
Ru As Mg Sr
1 1 1 2
Direct
0.000 0.000 0.000
0.000 0.500 0.000
0.500 0.500 0.500
0.000 0.000 0.500
0.500 0.000 0.000
```

Summary:
- ΔE_f: -0.1168 eV/atom